Here is KInSb2 after structural relaxation from the Alexandria database. Energies are from PBE-GGA.

a b c (Å): 4.668 4.668 13.342
angles (deg): 90.00 90.00 90.00
Fractional coordinates of all 8 atoms:
K 0.250 0.250 0.212
K 0.750 0.750 0.788
In 0.250 0.750 0.500
In 0.750 0.250 0.500
Sb 0.250 0.250 0.637
Sb 0.250 0.750 0.000
Sb 0.750 0.250 0.000
Sb 0.750 0.750 0.363

- density (g cm⁻³) = 4.540
- final energy (eV/atom) = -3.192
- E_form (uncorrected) (eV/atom) = -0.172
- crystal system = tetragonal



Here is KIn2Sb after structural relaxation from the Alexandria database. Energies are from PBE-GGA.

a b c (Å): 5.095 5.095 9.483
angles (deg): 90.00 90.00 90.00
Fractional coordinates of all 8 atoms:
K 0.000 0.000 0.000
K 0.500 0.500 0.500
In 0.000 0.000 0.500
In 0.000 0.500 0.250
In 0.500 0.000 0.750
In 0.500 0.500 0.000
Sb 0.000 0.500 0.750
Sb 0.500 0.000 0.250

- density (g cm⁻³) = 5.268
- final energy (eV/atom) = -2.730
- E_form (uncorrected) (eV/atom) = -0.056
- crystal system = tetragonal



Here is KIn2Sb after structural relaxation from the Alexandria database. Energies are from PBE-GGA.

a b c (Å): 4.839 4.892 5.041
angles (deg): 90.00 90.00 90.00
Fractional coordinates of all 4 atoms:
K 0.000 0.000 0.000
In 0.000 0.500 0.500
In 0.500 0.000 0.500
Sb 0.500 0.500 0.000

- density (g cm⁻³) = 5.434
- final energy (eV/atom) = -2.747
- E_form (uncorrected) (eV/atom) = -0.073
- crystal system = orthorhombic



Here is KInSb after structural relaxation from the Alexandria database. Energies are from PBE-GGA.

a b c (Å): 5.612 5.612 3.400
angles (deg): 90.00 90.00 120.00
Fractional coordinates of all 3 atoms:
K 0.000 0.000 0.000
In 0.333 0.667 0.500
Sb 0.667 0.333 0.500

- density (g cm⁻³) = 4.935
- final energy (eV/atom) = -2.830
- E_form (uncorrected) (eV/atom) = -0.177
- crystal system = hexagonal



Here is KInSb2 after structural relaxation from the Alexandria database. Energies are from PBE-GGA.

a b c (Å): 4.744 4.757 10.594
angles (deg): 90.00 90.00 90.00
Fractional coordinates of all 8 atoms:
K 0.000 0.000 0.000
K 0.500 0.500 0.500
In 0.000 0.000 0.500
In 0.500 0.500 0.000
Sb 0.000 0.500 0.250
Sb 0.000 0.500 0.750
Sb 0.500 0.000 0.250
Sb 0.500 0.000 0.750

- density (g cm⁻³) = 5.521
- final energy (eV/atom) = -3.105
- E_form (uncorrected) (eV/atom) = -0.085
- crystal system = orthorhombic



Here is KInSb after structural relaxation from the Alexandria database. Energies are from PBE-GGA.

a b c (Å): 4.670 4.670 18.986
angles (deg): 90.00 90.00 120.00
Fractional coordinates of all 9 atoms:
K 0.000 0.000 0.000
K 0.333 0.667 0.667
K 0.667 0.333 0.333
In 0.000 0.000 0.195
In 0.333 0.667 0.862
In 0.667 0.333 0.528
Sb 0.000 0.000 0.802
Sb 0.333 0.667 0.469
Sb 0.667 0.333 0.136

- density (g cm⁻³) = 3.829
- final energy (eV/atom) = -2.849
- E_form (uncorrected) (eV/atom) = -0.196
- crystal system = trigonal



Here is KIn2Sb2 after structural relaxation from the Alexandria database. Energies are from PBE-GGA.

a b c (Å): 8.742 4.929 8.307
angles (deg): 90.00 90.26 90.00
Fractional coordinates of all 10 atoms:
K 0.000 0.000 0.000
K 0.500 0.500 0.000
In 0.165 0.500 0.368
In 0.335 0.000 0.632
In 0.665 0.000 0.368
In 0.835 0.500 0.632
Sb 0.167 0.500 0.728
Sb 0.333 0.000 0.272
Sb 0.667 0.000 0.728
Sb 0.833 0.500 0.272

- offset from the most stable computed form (meV/atom) = 0
- density (g cm⁻³) = 4.754
- final energy (eV/atom) = -3.215
- E_form (uncorrected) (eV/atom) = -0.251
- crystal system = monoclinic



Here is KInSb after structural relaxation from the Alexandria database. Energies are from PBE-GGA.

a b c (Å): 4.834 15.043 5.713
angles (deg): 90.00 90.00 90.00
Fractional coordinates of all 12 atoms:
K 0.000 0.073 0.250
K 0.000 0.927 0.750
K 0.500 0.427 0.750
K 0.500 0.573 0.250
In 0.000 0.262 0.750
In 0.000 0.738 0.250
In 0.500 0.238 0.250
In 0.500 0.762 0.750
Sb 0.000 0.357 0.250
Sb 0.000 0.643 0.750
Sb 0.500 0.143 0.750
Sb 0.500 0.857 0.250

- density (g cm⁻³) = 4.408
- final energy (eV/atom) = -2.935
- E_form (uncorrected) (eV/atom) = -0.282
- crystal system = orthorhombic